Sc5Ru24 PBE optimized geometry; DFT total energy = -8.903 eV per atom; space group = I-43m, No. 217; ΔE_f = -3.92 eV/f.u.
1.0
-5.399 0.537 -6.267
0.516 -7.875 2.536
-2.572 4.762 6.278
Ru Sc
24 5
direct
0.192 0.371 0.000
0.371 0.192 0.000
0.808 0.808 0.179
0.629 0.629 0.821
0.808 0.179 0.808
0.629 0.821 0.629
0.371 0.000 0.192
0.192 0.000 0.371
0.000 0.371 0.192
0.000 0.192 0.371
0.821 0.629 0.629
0.179 0.808 0.808
0.676 0.384 0.000
0.384 0.676 0.000
0.324 0.324 0.707
0.616 0.616 0.293
0.324 0.707 0.324
0.616 0.293 0.616
0.384 0.000 0.676
0.676 0.000 0.384
0.000 0.384 0.676
0.000 0.676 0.384
0.293 0.616 0.616
0.707 0.324 0.324
0.000 0.627 0.000
0.627 0.000 0.000
0.000 0.000 0.627
0.373 0.373 0.373
0.000 0.000 0.000

---

Rb2NaAsBr6 PBE optimized geometry; formation energy from raw total energies = -1.178 eV per atom; DFT total energy = -2.972 eV per atom; space group = Fm-3m, No. 225
1.0
-5.691 -0.056 -5.471
-7.225 -2.590 1.847
-6.010 5.094 0.504
Na As Br Rb
1 1 6 2
direct
0.500 0.500 0.500
0.000 0.000 0.000
0.238 0.762 0.762
0.762 0.238 0.762
0.238 0.762 0.238
0.238 0.238 0.762
0.762 0.762 0.238
0.762 0.238 0.238
0.250 0.250 0.250
0.750 0.750 0.750

---

Mg3ReRu PBE optimized geometry; DFT total energy = -4.000 eV per atom; space group = Pm-3m, No. 221; distance to the lowest polymorph of the same formula = 0.000 eV per atom; ΔE_f = 6.51 eV/f.u.
1.0
-1.409 0.065 4.573
-1.922 -4.351 -0.530
4.150 -1.993 1.307
Re Mg Ru
1 3 1
direct
0.500 0.500 0.500
0.000 0.500 0.000
0.000 0.000 0.500
0.500 0.000 0.000
0.000 0.000 0.000

---

LiAc2In4 PBE optimized geometry; DFT total energy = -3.265 eV per atom; space group = I4/mmm, No. 139; distance to the lowest polymorph of the same formula = 0.000 eV per atom; ΔE_f = -1.77 eV/f.u.
1.0
-1.790 1.151 4.520
-4.616 0.257 -1.893
2.059 -9.002 0.348
Li Ac In
1 2 4
direct
0.000 0.000 0.000
0.648 0.648 0.296
0.352 0.352 0.704
0.000 0.500 0.000
0.500 0.000 0.000
0.846 0.846 0.692
0.154 0.154 0.308

---

Ti3CoH6 PBE optimized geometry; DFT total energy = -5.425 eV per atom; space group = Cmc2_1, No. 36
1.0
4.584 0.000 0.000
0.000 5.827 -0.095
0.000 -1.393 5.659
Ti Co H
6 2 12
direct
0.464 0.905 0.672
0.964 0.672 0.905
0.441 0.380 0.620
0.941 0.620 0.380
0.964 0.095 0.328
0.464 0.328 0.095
0.973 0.151 0.849
0.473 0.849 0.151
0.204 0.649 0.640
0.704 0.640 0.649
0.187 0.402 0.885
0.687 0.885 0.402
0.220 0.011 0.989
0.641 0.210 0.790
0.141 0.790 0.210
0.720 0.989 0.011
0.187 0.115 0.598
0.687 0.598 0.115
0.204 0.360 0.351
0.704 0.351 0.360

---

CsSrBF6 PBE optimized geometry; formation energy from raw total energies = -2.870 eV per atom; DFT total energy = -5.141 eV per atom; space group = P312, No. 149
1.0
-2.167 1.163 -5.115
-0.332 -4.076 -3.936
-5.519 -1.482 2.001
Cs Sr B F
1 1 1 6
direct
0.000 0.000 0.000
0.667 0.667 0.500
0.333 0.333 0.500
0.096 0.335 0.341
0.335 0.096 0.659
0.569 0.335 0.659
0.096 0.570 0.659
0.335 0.570 0.341
0.570 0.096 0.341